1 | ## SrMnHS2 (PBE)

Data for a relaxed structure of SrMnHS2.

POSCAR file:
```
SrMnHS2
1.0
5.667 0.000 0.000
0.000 6.653 0.000
0.000 0.000 5.667
Sr S Mn H
1 2 1 1
Cartesian
0.000 0.000 0.000 Sr
0.000 0.000 2.833 S
2.833 0.000 0.000 S
0.000 3.327 0.000 Mn
2.833 3.327 2.833 H
```

Summary:
**V**: 42.73 Å³/atom

=====

2 | ## SrMnHS2 (PBE)

Data for a relaxed structure of SrMnHS2.

POSCAR file:
```
SrMnHS2
1.0
4.828 0.000 0.000
0.000 4.828 0.000
0.000 0.000 3.794
Sr S Mn H
1 2 1 1
Cartesian
2.414 2.414 1.897 Sr
0.000 2.414 0.000 S
2.414 0.000 0.000 S
0.000 0.000 0.000 Mn
0.000 0.000 1.897 H
```

Summary:
**V**: 17.69 Å³/atom

=====

Name the most stable of them. 2.

=====

1 | ## MnSb2H (PBE)

Data for a relaxed structure of MnSb2H.

POSCAR file:
```
MnSb2H
1.0
0.000 3.159 3.159
3.159 0.000 3.159
3.159 3.159 0.000
Sb Mn H
2 1 1
Cartesian
1.579 1.579 1.579 Sb
4.738 4.738 4.738 Sb
3.159 3.159 3.159 Mn
0.000 0.000 0.000 H
```

Summary:
**V**: 15.76 Å³/atom

=====

2 | ## MnSb2H (PBE)

Data for a relaxed structure of MnSb2H.

POSCAR file:
```
MnSb2H
1.0
6.185 0.000 0.000
0.000 6.185 0.000
3.093 3.093 3.420
Sb Mn H
4 2 2
Cartesian
4.301 1.546 0.855 Sb
1.884 4.639 0.855 Sb
4.639 4.977 2.565 Sb
7.731 7.393 2.565 Sb
0.000 0.000 0.000 Mn
6.185 3.093 1.710 Mn
3.093 3.093 0.000 H
3.093 6.185 1.710 H
```

Summary:
**V**: 16.35 Å³/atom

=====

Name the most stable of them. 1.

=====

1 | ## MnSb2TeH (PBE)

Data for a relaxed structure of MnSb2TeH.

POSCAR file:
```
MnSb2TeH
1.0
4.301 0.000 0.000
0.000 4.301 0.000
0.000 0.000 5.389
Sb Te Mn H
2 1 1 1
Cartesian
0.000 2.151 0.000 Sb
2.151 0.000 0.000 Sb
0.000 0.000 2.695 Te
2.151 2.151 2.695 Mn
0.000 0.000 0.000 H
```

Summary:
**V**: 19.94 Å³/atom

=====

2 | ## MnSb2TeH (PBE)

Data for a relaxed structure of MnSb2TeH.

POSCAR file:
```
MnSb2TeH
1.0
-1.171 -4.567 -1.673
-0.617 -1.567 4.711
-4.995 1.355 -0.203
Sb Te Mn H
2 1 1 1
Cartesian
-0.309 -0.784 2.355 Sb
-0.585 -2.284 -0.836 Sb
-2.497 0.677 -0.102 Te
0.000 0.000 0.000 Mn
-3.391 -2.390 1.417 H
```

Summary:
**V**: 25.93 Å³/atom

=====

Name the most stable of them. 2.